RbNa2Al3Si3O13 after structural relaxation, computed with GGA-PBEsol.

```
RbNa2Al3Si3O13
1.0
5.247 0.000 0.000
0.000 8.121 0.000
-5.162 0.000 15.220
Rb Na Al Si O
2 4 6 6 26
Direct
0.000 0.015 0.000 Rb
0.000 0.985 0.500 Rb
0.133 0.321 0.267 Na
0.133 0.679 0.767 Na
0.629 0.340 0.766 Na
0.629 0.660 0.266 Na
0.222 0.405 0.909 Al
0.222 0.595 0.409 Al
0.602 0.089 0.257 Al
0.602 0.911 0.757 Al
0.935 0.389 0.618 Al
0.935 0.611 0.118 Al
0.095 0.112 0.769 Si
0.095 0.888 0.269 Si
0.435 0.397 0.122 Si
0.435 0.603 0.622 Si
0.720 0.375 0.404 Si
0.720 0.625 0.904 Si
0.091 0.222 0.854 O
0.091 0.778 0.354 O
0.269 0.461 0.655 O
0.269 0.539 0.155 O
0.306 0.353 0.019 O
0.306 0.647 0.519 O
0.405 0.233 0.178 O
0.405 0.767 0.678 O
0.412 0.087 0.774 O
0.412 0.913 0.274 O
0.482 0.484 0.875 O
0.482 0.516 0.375 O
0.489 0.033 0.647 O
0.489 0.967 0.147 O
0.609 0.204 0.353 O
0.609 0.796 0.853 O
0.749 0.456 0.150 O
0.749 0.544 0.650 O
0.821 0.337 0.508 O
0.821 0.663 0.008 O
0.928 0.212 0.680 O
0.928 0.788 0.180 O
0.952 0.064 0.274 O
0.952 0.936 0.774 O
0.964 0.449 0.371 O
0.964 0.551 0.871 O
```

- E_form (uncorrected) (eV/atom) = -2.5256
- total energy (eV per atom) = -7.143
- total moment (μB per cell) = 3.9
- space group = Pc